# 1
Material: La6SnGe2Te3
Method: DFT, PBE-GGA
State: optimized geometry

Unit cell a=19.9365 b=4.5306 c=9.1879 alpha=90.00 beta=103.86 gamma=90.00
Space group C2/m (No. 12)
Symmetry-distinct sites (fractional):
La 0.0072 0.0000 0.2499 x4
La 0.1664 0.5000 0.1017 x4
La 0.1727 0.5000 0.5693 x4
Sn 0.0000 0.5000 0.0000 x2
Ge 0.1676 0.0000 0.3349 x4
Te 0.0000 0.5000 0.5000 x2
Te 0.1648 0.0000 0.8323 x4

Properties
The calculation puts the raw total energy at -0.2059 hartree per atom. Its energy relative to the elements, uncorrected is -1.25 eV per atom. The value obtained for the density is 6.10 g/cm³. As for the crystal system: monoclinic.

***

# 2
Material: La2ZnSnGe
Method: DFT, PBE-GGA
State: optimized geometry

Unit cell a=7.3256 b=4.7186 c=7.9511 alpha=90.00 beta=95.67 gamma=90.00
Space group P2_1/m (No. 11)
Symmetry-distinct sites (fractional):
La 0.1634 0.2500 0.4427 x2
La 0.2517 0.2500 0.9771 x2
Zn 0.4403 0.7500 0.3307 x2
Sn 0.3638 0.7500 0.7029 x2
Ge 0.1162 0.7500 0.2012 x2

Properties
The formation energy is -0.65 eV/atom. The calculation puts the raw total energy at -0.1692 hartree per atom. The value obtained for the density is 6.49 g/cm³. As for the crystal system: monoclinic.

***

# 3
Material: SrLaGe4
Method: DFT, PBE-GGA
State: optimized geometry

Unit cell a=8.2466 b=8.2466 c=8.2466 alpha=90.00 beta=90.00 gamma=90.00
Space group F-43m (No. 216)
Symmetry-distinct sites (fractional):
Sr 0.0000 0.0000 0.0000 x4
La 0.2500 0.2500 0.7500 x4
Ge 0.1235 0.1235 0.3765 x16

Properties
The formation energy is -0.41 eV/atom. The calculation puts the raw total energy at -0.1685 hartree per atom. The value obtained for the density is 6.12 g/cm³. As for the crystal system: cubic.

***

# 4
Material: SrLa3Ge
Method: DFT, PBE-GGA
State: optimized geometry

Unit cell a=5.9622 b=5.9622 c=5.9622 alpha=90.00 beta=90.00 gamma=90.00
Space group Pm-3m (No. 221)
Symmetry-distinct sites (fractional):
Sr 0.0000 0.0000 0.0000 x1
La 0.0000 0.5000 0.5000 x3
Ge 0.5000 0.5000 0.5000 x1

Properties
The formation energy is -0.15 eV/atom. The calculation puts the raw total energy at -0.1603 hartree per atom. The value obtained for the density is 4.52 g/cm³. As for the polymorph energy (0 for the lowest one): 0.000 eV per atom. As for the crystal system: cubic.

***

# 5
Material: SrLa3Ge
Method: DFT, PBE-GGA
State: optimized geometry

Unit cell a=5.7347 b=5.7347 c=5.7347 alpha=90.00 beta=90.00 gamma=90.00
Space group Pm-3m (No. 221)
Symmetry-distinct sites (fractional):
Sr 0.0000 0.0000 0.0000 x1
La 0.0000 0.0000 0.5000 x3
Ge 0.5000 0.5000 0.5000 x1

Properties
The formation energy is 0.98 eV/atom. The calculation puts the raw total energy at -0.1191 hartree per atom. The value obtained for the density is 5.08 g/cm³. As for the polymorph energy (0 for the lowest one): 1.122 eV per atom. As for the crystal system: cubic.

***

# 6
Material: SrLa2Ge
Method: DFT, PBE-GGA
State: optimized geometry

Unit cell a=4.3319 b=4.3319 c=30.9039 alpha=90.00 beta=90.00 gamma=120.00
Space group R3m (No. 160, hexagonal axes)
Symmetry-distinct sites (fractional):
Sr 0.0000 0.0000 0.0000 x3
La 0.0000 0.0000 0.2214 x3
La 0.0000 0.0000 0.4468 x3
Ge 0.0000 0.0000 0.8349 x3

Properties
The formation energy is -0.32 eV/atom. The calculation puts the raw total energy at -0.1602 hartree per atom. The value obtained for the density is 4.35 g/cm³. As for the crystal system: trigonal.

***

# 7
Material: SrLa2Ge6
Method: DFT, PBE-GGA
State: optimized geometry

Unit cell a=7.7488 b=7.7488 c=4.3035 alpha=90.00 beta=90.00 gamma=120.00
Space group P6/mmm (No. 191)
Symmetry-distinct sites (fractional):
Sr 0.0000 0.0000 0.0000 x1
La 0.3333 0.6667 0.0000 x2
Ge 0.0000 0.3362 0.5000 x6

Properties
The formation energy is -0.58 eV/atom. The calculation puts the raw total energy at -0.1816 hartree per atom. The value obtained for the density is 5.95 g/cm³. As for the crystal system: hexagonal.

***

# 8
Material: Sr3La3Ge4
Method: DFT, PBE-GGA
State: optimized geometry

Unit cell a=4.6040 b=11.3802 c=11.5722 alpha=90.00 beta=90.00 gamma=90.00
Space group Amm2 (No. 38)
Symmetry-distinct sites (fractional):
Sr 0.0000 0.0000 0.0000 x2
Sr 0.5000 0.2472 0.0774 x4
La 0.0000 0.0000 0.6574 x2
La 0.0000 0.1728 0.3300 x4
Ge 0.5000 0.0000 0.2234 x2
Ge 0.5000 0.0000 0.4466 x2
Ge 0.5000 0.1164 0.8212 x4

Properties
The formation energy is -0.65 eV/atom. The calculation puts the raw total energy at -0.1646 hartree per atom. The value obtained for the density is 5.31 g/cm³. As for the crystal system: orthorhombic.